# Ho11In6Ge4

A relaxed Ho11In6Ge4 crystal (PBE-GGA, Alexandria via LeMat-Bulk).

Computed properties:
Crystal system = tetragonal
Calculated density = 8691 kg/m³
Energy of formation = -0.656 eV/atom
SG = I4/mmm (139)

Geometry as POSCAR:
```
Ho11In6Ge4
1.0
-5.7362 5.7362 8.1107
5.7362 -5.7362 8.1107
5.7362 5.7362 -8.1107
Ho In Ge
22 12 8
Direct
0.0641 0.3138 0.7503 Ho
0.1015 0.4473 0.3458 Ho
0.1015 0.7556 0.6542 Ho
0.1678 0.1678 0.0000 Ho
0.2444 0.8985 0.3458 Ho
0.3138 0.0641 0.7503 Ho
0.3138 0.5635 0.2497 Ho
0.3320 0.3320 0.6640 Ho
0.3320 0.6680 0.0000 Ho
0.4365 0.6862 0.7503 Ho
0.4473 0.1015 0.3458 Ho
0.5527 0.8985 0.6542 Ho
0.5635 0.3138 0.2497 Ho
0.6680 0.3320 0.0000 Ho
0.6680 0.6680 0.3360 Ho
0.6862 0.4365 0.7503 Ho
0.6862 0.9359 0.2497 Ho
0.7556 0.1015 0.6542 Ho
0.8322 0.8322 0.0000 Ho
0.8985 0.2444 0.3458 Ho
0.8985 0.5527 0.6542 Ho
0.9359 0.6862 0.2497 Ho
0.0355 0.0355 0.4127 In
0.0355 0.6228 0.0000 In
0.1289 0.1289 0.2579 In
0.1289 0.8711 0.0000 In
0.3772 0.3772 0.4127 In
0.3772 0.9645 0.0000 In
0.6228 0.0355 0.0000 In
0.6228 0.6228 0.5873 In
0.8711 0.1289 0.0000 In
0.8711 0.8711 0.7421 In
0.9645 0.3772 0.0000 In
0.9645 0.9645 0.5873 In
0.1529 0.5000 0.6529 Ge
0.2500 0.7500 0.5000 Ge
0.3803 0.3803 0.0000 Ge
0.5000 0.1529 0.6529 Ge
0.5000 0.8471 0.3471 Ge
0.6197 0.6197 0.0000 Ge
0.7500 0.2500 0.5000 Ge
0.8471 0.5000 0.3471 Ge
```



# Ho3InGe2

A relaxed Ho3InGe2 crystal (PBE-GGA, Alexandria via LeMat-Bulk).

Computed properties:
Crystal system = orthorhombic
Calculated density = 8645 kg/m³
Energy of formation = -0.683 eV/atom
SG = Immm (71)

Geometry as POSCAR:
```
Ho3InGe2
1.0
-2.1469 2.1584 7.8232
2.1469 -2.1584 7.8232
2.1469 2.1584 -7.8232
Ho In Ge
3 1 2
Direct
0.0000 0.0000 0.0000 Ho
0.3248 0.8248 0.5000 Ho
0.6752 0.1752 0.5000 Ho
0.5000 0.5000 0.0000 In
0.1397 0.6397 0.5000 Ge
0.8603 0.3603 0.5000 Ge
```



# Ho7In2Ge2

A relaxed Ho7In2Ge2 crystal (PBE-GGA, Alexandria via LeMat-Bulk).

Computed properties:
Crystal system = orthorhombic
Calculated density = 7991 kg/m³
Energy of formation = -0.331 eV/atom
SG = Cmmm (65)

Geometry as POSCAR:
```
Ho7In2Ge2
1.0
4.1265 -5.4339 0.0000
4.1265 5.4339 0.0000
0.0000 0.0000 7.0874
Ho In Ge
7 2 2
Direct
0.0000 0.0000 0.0000 Ho
0.0000 0.5000 0.2673 Ho
0.0000 0.5000 0.7327 Ho
0.5000 0.0000 0.2673 Ho
0.5000 0.0000 0.7327 Ho
0.5000 0.5000 0.2534 Ho
0.5000 0.5000 0.7466 Ho
0.1756 0.1756 0.5000 In
0.8244 0.8244 0.5000 In
0.2808 0.7192 0.0000 Ge
0.7192 0.2808 0.0000 Ge
```



# LaHoInGe

A relaxed LaHoInGe crystal (PBE-GGA, Alexandria via LeMat-Bulk).

Computed properties:
Crystal system = cubic
Calculated density = 7650 kg/m³
Energy of formation = -0.505 eV/atom
SG = F-43m (216)

Geometry as POSCAR:
```
LaHoInGe
1.0
0.0000 3.7638 3.7638
3.7638 0.0000 3.7638
3.7638 3.7638 0.0000
La Ho In Ge
1 1 1 1
Direct
0.0000 0.0000 0.0000 La
0.5000 0.5000 0.5000 Ho
0.7500 0.7500 0.7500 In
0.2500 0.2500 0.2500 Ge
```



# Ho2InNi4Ge3

A relaxed Ho2InNi4Ge3 crystal (PBE-GGA, Alexandria via LeMat-Bulk).

Computed properties:
Crystal system = tetragonal
Calculated density = 8862 kg/m³
Energy of formation = -0.593 eV/atom
SG = P-4m2 (115)

Geometry as POSCAR:
```
Ho2InNi4Ge3
1.0
4.0969 0.0000 0.0000
0.0000 4.0969 0.0000
0.0000 0.0000 10.0173
Ho In Ni Ge
2 1 4 3
Direct
0.0000 0.5000 0.2369 Ho
0.5000 0.0000 0.7631 Ho
0.0000 0.0000 0.5000 In
0.0000 0.0000 0.0000 Ni
0.0000 0.5000 0.6479 Ni
0.5000 0.0000 0.3521 Ni
0.5000 0.5000 0.0000 Ni
0.0000 0.5000 0.8778 Ge
0.5000 0.0000 0.1222 Ge
0.5000 0.5000 0.5000 Ge
```



# HoInGe2O7

A relaxed HoInGe2O7 crystal (PBE-GGA, Alexandria via LeMat-Bulk).

Computed properties:
Crystal system = monoclinic
Formation energy from raw total energies = -2.12 eV per atom
Calculated density = 5864 kg/m³
SG = C2 (5)

Geometry as POSCAR:
```
HoInGe2O7
1.0
3.4503 -4.5359 0.0000
3.4503 4.5359 0.0000
-1.0042 0.0000 4.8585
Ho In Ge O
1 1 2 7
Direct
0.0000 0.0000 0.0000 Ho
0.3869 0.6131 0.0000 In
0.4747 0.0703 0.5915 Ge
0.9297 0.5253 0.4085 Ge
0.0916 0.7055 0.7255 O
0.1129 0.3925 0.2063 O
0.2945 0.9084 0.2745 O
0.3135 0.2363 0.7860 O
0.6075 0.8871 0.7937 O
0.7523 0.2477 0.5000 O
0.7637 0.6865 0.2140 O
```



# HoInGePd

A relaxed HoInGePd crystal (PBE-GGA, Alexandria via LeMat-Bulk).

Computed properties:
Crystal system = cubic
Calculated density = 9270 kg/m³
Energy of formation = -0.544 eV/atom
SG = F-43m (216)

Geometry as POSCAR:
```
HoInGePd
1.0
0.0000 3.4508 3.4508
3.4508 0.0000 3.4508
3.4508 3.4508 0.0000
Ho In Ge Pd
1 1 1 1
Direct
0.0000 0.0000 0.0000 Ho
0.5000 0.5000 0.5000 In
0.7500 0.7500 0.7500 Ge
0.2500 0.2500 0.2500 Pd
```



# HoIn2Ge2Pt7

A relaxed HoIn2Ge2Pt7 crystal (PBE-GGA, Alexandria via LeMat-Bulk).

Computed properties:
Crystal system = monoclinic
Calculated density = 13639 kg/m³
Energy of formation = -0.609 eV/atom
SG = C2/m (12)

Geometry as POSCAR:
```
HoIn2Ge2Pt7
1.0
2.8274 -2.8327 0.0000
2.8274 2.8327 0.0000
-1.9954 0.0000 14.4828
Ho In Ge Pt
1 2 2 7
Direct
0.0000 0.0000 0.0000 Ho
0.1090 0.1090 0.4022 In
0.8910 0.8910 0.5978 In
0.4109 0.4109 0.7475 Ge
0.5891 0.5891 0.2525 Ge
0.0527 0.5526 0.1497 Pt
0.3826 0.3826 0.5800 Pt
0.4474 0.9473 0.8503 Pt
0.5000 0.5000 0.0000 Pt
0.5526 0.0527 0.1497 Pt
0.6174 0.6174 0.4200 Pt
0.9473 0.4474 0.8503 Pt
```



# HoPuInGe

A relaxed HoPuInGe crystal (PBE-GGA, Alexandria via LeMat-Bulk).

Computed properties:
Crystal system = cubic
Calculated density = 10026 kg/m³
Energy of formation = -0.332 eV/atom
SG = F-43m (216)

Geometry as POSCAR:
```
HoPuInGe
1.0
0.0000 3.6690 3.6690
3.6690 0.0000 3.6690
3.6690 3.6690 0.0000
Ho Pu In Ge
1 1 1 1
Direct
0.0000 0.0000 0.0000 Ho
0.5000 0.5000 0.5000 Pu
0.2500 0.2500 0.2500 In
0.7500 0.7500 0.7500 Ge
```



# Ho2In2GeRh4

A relaxed Ho2In2GeRh4 crystal (PBE-GGA, Alexandria via LeMat-Bulk).

Computed properties:
Crystal system = tetragonal
Calculated density = 9646 kg/m³
Energy of formation = -0.352 eV/atom
SG = I4/mmm (139)

Geometry as POSCAR:
```
Ho2In2GeRh4
1.0
-3.1734 3.1734 4.4608
3.1734 -3.1734 4.4608
3.1734 3.1734 -4.4608
Ho In Ge Rh
2 2 1 4
Direct
0.1940 0.1940 0.0000 Ho
0.8060 0.8060 0.0000 Ho
0.2500 0.7500 0.5000 In
0.7500 0.2500 0.5000 In
0.5000 0.5000 0.0000 Ge
0.2374 0.2374 0.4748 Rh
0.2374 0.7626 0.0000 Rh
0.7626 0.2374 0.0000 Rh
0.7626 0.7626 0.5252 Rh
```



# HoInGe2Rh5

A relaxed HoInGe2Rh5 crystal (PBE-GGA, Alexandria via LeMat-Bulk).

Computed properties:
Crystal system = tetragonal
Calculated density = 10063 kg/m³
Energy of formation = -0.420 eV/atom
SG = P4/mmm (123)

Geometry as POSCAR:
```
HoInGe2Rh5
1.0
4.2489 0.0000 0.0000
0.0000 4.2489 0.0000
0.0000 0.0000 8.5881
Ho In Ge Rh
1 1 2 5
Direct
0.0000 0.0000 0.0000 Ho
0.0000 0.0000 0.5000 In
0.5000 0.5000 0.3594 Ge
0.5000 0.5000 0.6406 Ge
0.0000 0.5000 0.2326 Rh
0.0000 0.5000 0.7674 Rh
0.5000 0.0000 0.2326 Rh
0.5000 0.0000 0.7674 Rh
0.5000 0.5000 0.0000 Rh
```



# Ho6InGe2Se3

A relaxed Ho6InGe2Se3 crystal (PBE-GGA, Alexandria via LeMat-Bulk).

Computed properties:
Crystal system = monoclinic
Formation energy from raw total energies = -1.23 eV per atom
Calculated density = 8170 kg/m³
SG = C2/m (12)

Geometry as POSCAR:
```
Ho6InGe2Se3
1.0
9.1496 -2.0595 0.0000
9.1496 2.0595 0.0000
-2.4360 0.0000 8.0166
Ho In Ge Se
6 1 2 3
Direct
0.0008 0.0008 0.2357 Ho
0.3283 0.3283 0.4113 Ho
0.3286 0.3286 0.9313 Ho
0.6714 0.6714 0.0687 Ho
0.6717 0.6717 0.5887 Ho
0.9992 0.9992 0.7643 Ho
0.5000 0.5000 0.5000 In
0.1633 0.1633 0.8235 Ge
0.8367 0.8367 0.1765 Ge
0.1670 0.1670 0.3266 Se
0.5000 0.5000 0.0000 Se
0.8330 0.8330 0.6734 Se
```



# Ho8InGe3Te4

A relaxed Ho8InGe3Te4 crystal (PBE-GGA, Alexandria via LeMat-Bulk).

Computed properties:
Crystal system = trigonal
Formation energy from raw total energies = -1.05 eV per atom
Calculated density = 8082 kg/m³
SG = R-3m (166)

Geometry as POSCAR:
```
Ho8InGe3Te4
1.0
4.2393 2.4476 7.1366
-4.2393 2.4476 7.1366
0.0000 -4.8951 7.1366
Ho In Ge Te
8 1 3 4
Direct
0.2323 0.7484 0.7484 Ho
0.2387 0.2387 0.2387 Ho
0.2516 0.2516 0.7677 Ho
0.2516 0.7677 0.2516 Ho
0.7484 0.2323 0.7484 Ho
0.7484 0.7484 0.2323 Ho
0.7613 0.7613 0.7613 Ho
0.7677 0.2516 0.2516 Ho
0.5000 0.5000 0.5000 In
0.0000 0.0000 0.5000 Ge
0.0000 0.5000 0.0000 Ge
0.5000 0.0000 0.0000 Ge
0.0000 0.0000 0.0000 Te
0.0000 0.5000 0.5000 Te
0.5000 0.0000 0.5000 Te
0.5000 0.5000 0.0000 Te
```



# HoGe2Ir

A relaxed HoGe2Ir crystal (PBE-GGA, Alexandria via LeMat-Bulk).

Computed properties:
Crystal system = orthorhombic
Calculated density = 10893 kg/m³
Energy of formation = -0.793 eV/atom
SG = Immm (71)

Geometry as POSCAR:
```
HoGe2Ir
1.0
-2.1174 4.4543 8.1205
2.1174 -4.4543 8.1205
2.1174 4.4543 -8.1205
Ho Ge Ir
4 8 4
Direct
0.2042 0.2042 0.0000 Ho
0.2337 0.0000 0.2337 Ho
0.7663 0.0000 0.7663 Ho
0.7958 0.7958 0.0000 Ho
0.0765 0.5765 0.5000 Ge
0.1452 0.7974 0.3479 Ge
0.4221 0.4221 0.0000 Ge
0.4495 0.7974 0.6521 Ge
0.5505 0.2026 0.3479 Ge
0.5779 0.5779 0.0000 Ge
0.8548 0.2026 0.6521 Ge
0.9235 0.4235 0.5000 Ge
0.1060 0.3551 0.7509 Ir
0.3958 0.6449 0.7509 Ir
0.6042 0.3551 0.2491 Ir
0.8940 0.6449 0.2491 Ir
```



# Ho2GeIr

A relaxed Ho2GeIr crystal (PBE-GGA, Alexandria via LeMat-Bulk).

Computed properties:
Crystal system = tetragonal
Calculated density = 11588 kg/m³
Energy of formation = -0.752 eV/atom
SG = P4/mmm (123)

Geometry as POSCAR:
```
Ho2GeIr
1.0
3.5170 0.0000 0.0000
0.0000 3.5170 0.0000
0.0000 0.0000 6.8897
Ho Ge Ir
2 1 1
Direct
0.0000 0.0000 0.2358 Ho
0.0000 0.0000 0.7642 Ho
0.5000 0.5000 0.5000 Ge
0.5000 0.5000 0.0000 Ir
```



# Ho4Ge8Ir

A relaxed Ho4Ge8Ir crystal (PBE-GGA, Alexandria via LeMat-Bulk).

Computed properties:
Crystal system = orthorhombic
Calculated density = 8853 kg/m³
Energy of formation = -0.621 eV/atom
SG = Pmm2 (25)

Geometry as POSCAR:
```
Ho4Ge8Ir
1.0
4.0293 0.0000 0.0000
0.0000 4.1303 0.0000
0.0000 0.0000 16.1520
Ho Ge Ir
4 8 1
Direct
0.0000 0.0000 0.0000 Ho
0.0000 0.5000 0.4879 Ho
0.5000 0.0000 0.7891 Ho
0.5000 0.5000 0.2847 Ho
0.0000 0.0000 0.3305 Ge
0.0000 0.0000 0.6214 Ge
0.0000 0.5000 0.1403 Ge
0.0000 0.5000 0.8567 Ge
0.5000 0.0000 0.1446 Ge
0.5000 0.0000 0.4359 Ge
0.5000 0.5000 0.6199 Ge
0.5000 0.5000 0.9580 Ge
0.0000 0.5000 0.7067 Ir
```



# HoGe4Ir2

A relaxed HoGe4Ir2 crystal (PBE-GGA, Alexandria via LeMat-Bulk).

Computed properties:
Crystal system = orthorhombic
Calculated density = 11376 kg/m³
Energy of formation = -0.580 eV/atom
SG = Pnma (62)

Geometry as POSCAR:
```
HoGe4Ir2
1.0
17.1704 0.0000 0.0000
0.0000 4.2041 0.0000
0.0000 0.0000 6.7938
Ho Ge Ir
4 16 8
Direct
0.1423 0.2500 0.0074 Ho
0.3577 0.7500 0.5074 Ho
0.6423 0.2500 0.4926 Ho
0.8577 0.7500 0.9926 Ho
0.0357 0.7500 0.8682 Ge
0.0653 0.2500 0.4687 Ge
0.1814 0.7500 0.3092 Ge
0.1921 0.7500 0.7307 Ge
0.3079 0.2500 0.2307 Ge
0.3186 0.2500 0.8092 Ge
0.4347 0.7500 0.9687 Ge
0.4643 0.2500 0.3682 Ge
0.5357 0.7500 0.6318 Ge
0.5653 0.2500 0.0313 Ge
0.6814 0.7500 0.1908 Ge
0.6921 0.7500 0.7693 Ge
0.8079 0.2500 0.2693 Ge
0.8186 0.2500 0.6908 Ge
0.9347 0.7500 0.5313 Ge
0.9643 0.2500 0.1318 Ge
0.0320 0.7500 0.2487 Ir
0.2127 0.2500 0.5246 Ir
0.2873 0.7500 0.0246 Ir
0.4680 0.2500 0.7487 Ir
0.5320 0.7500 0.2513 Ir
0.7127 0.2500 0.9754 Ir
0.7873 0.7500 0.4754 Ir
0.9680 0.2500 0.7513 Ir
```



# Ho3Ge2Ir

A relaxed Ho3Ge2Ir crystal (PBE-GGA, Alexandria via LeMat-Bulk).

Computed properties:
Crystal system = orthorhombic
Calculated density = 10040 kg/m³
Energy of formation = -0.875 eV/atom
SG = Pnma (62)

Geometry as POSCAR:
```
Ho3Ge2Ir
1.0
11.6835 0.0000 0.0000
0.0000 4.2168 0.0000
0.0000 0.0000 11.1758
Ho Ge Ir
12 8 4
Direct
0.0541 0.2500 0.1286 Ho
0.1210 0.7500 0.5539 Ho
0.2257 0.2500 0.7984 Ho
0.2743 0.7500 0.2984 Ho
0.3790 0.2500 0.0539 Ho
0.4459 0.7500 0.6286 Ho
0.5541 0.2500 0.3714 Ho
0.6210 0.7500 0.9461 Ho
0.7257 0.2500 0.7016 Ho
0.7743 0.7500 0.2016 Ho
0.8790 0.2500 0.4461 Ho
0.9459 0.7500 0.8714 Ho
0.0070 0.7500 0.3104 Ge
0.1877 0.7500 0.0035 Ge
0.3123 0.2500 0.5035 Ge
0.4930 0.2500 0.8104 Ge
0.5070 0.7500 0.1896 Ge
0.6877 0.7500 0.4965 Ge
0.8123 0.2500 0.9965 Ge
0.9930 0.2500 0.6896 Ge
0.1297 0.2500 0.3716 Ir
0.3703 0.7500 0.8716 Ir
0.6297 0.2500 0.1284 Ir
0.8703 0.7500 0.6284 Ir
```



# HoGeIr2

A relaxed HoGeIr2 crystal (PBE-GGA, Alexandria via LeMat-Bulk).

Computed properties:
Crystal system = orthorhombic
Calculated density = 11816 kg/m³
Energy of formation = -0.132 eV/atom
SG = Pmma (51)

Geometry as POSCAR:
```
HoGeIr2
1.0
5.6269 0.0000 0.0000
0.0000 7.3233 0.0000
0.0000 0.0000 8.4852
Ho Ge Ir
4 4 8
Direct
0.2500 0.0000 0.1800 Ho
0.2500 0.5000 0.2880 Ho
0.7500 0.0000 0.8200 Ho
0.7500 0.5000 0.7120 Ho
0.2500 0.0000 0.7498 Ge
0.2500 0.5000 0.7731 Ge
0.7500 0.0000 0.2502 Ge
0.7500 0.5000 0.2269 Ge
0.0000 0.0000 0.5000 Ir
0.0000 0.5000 0.0000 Ir
0.2500 0.3002 0.5473 Ir
0.2500 0.6998 0.5473 Ir
0.5000 0.0000 0.5000 Ir
0.5000 0.5000 0.0000 Ir
0.7500 0.3002 0.4527 Ir
0.7500 0.6998 0.4527 Ir
```